Computed, not measured: an optimized crystal structure of Y2InOs at the PBE-GGA level of DFT. Values from VASP.

Values from the calculation:
The calculation puts the formation energy at 100 kJ/mol of formula units. As for the symmetry: R3m (160).

Quantum ESPRESSO input file:
```
&SYSTEM
  ibrav = 0, nat = 4, ntyp = 3
/
ATOMIC_SPECIES
In 114.82 In.upf
Os 190.23 Os.upf
Y 88.91 Y.upf
CELL_PARAMETERS angstrom
-7.227 -5.542 3.968
-4.468 -6.960 5.502
-5.918 -4.115 6.835
ATOMIC_POSITIONS crystal
In 0.486 0.486 0.486
Os 0.754 0.754 0.754
Y 0.018 0.018 0.018
Y 0.242 0.242 0.242
```